A geometry-optimized Ti7Al3Re2 structure. Source: the Alexandria database, functional GGA-PBE.

Total DFT energy (no corrections) (eV per atom): -7.57
Calculated volume (Å³/atom): 17.1
Magnetic moment (μB per formula unit): 0.000
DOS at the Fermi energy (states/eV/atom): 0.92
Calculated formation energy (kJ/mol of atoms): 4.35

a b c (Å): 4.131 4.151 12.145
angles (deg): 99.84 90.00 90.00
Fractional positions:
Ti: 0.000 0.000 0.000
Ti: 0.000 0.729 0.458
Ti: 0.000 0.271 0.542
Ti: 0.000 0.416 0.833
Al: 0.500 0.659 0.317
Re: 0.000 0.847 0.694
Al: 0.500 0.500 0.000
Re: 0.000 0.153 0.306
Al: 0.500 0.341 0.683
Ti: 0.500 0.081 0.163
Ti: 0.500 0.919 0.837
Ti: 0.000 0.584 0.167